Below is Ba2Na2Zn15 after structural relaxation, with properties calculated at the PBE level.

Cell and atoms, written as POSCAR:
```
Ba2Na2Zn15
1.0
7.1798 -0.1551 -0.1382
0.7777 7.1392 -0.1382
0.7777 0.6826 7.1078
Ba Na Zn
2 2 15
Cartesian
2.9932 2.6271 2.3409 Ba
5.7419 5.0396 4.4906 Ba
0.8628 0.7572 0.6747 Na
7.8724 6.9095 6.1567 Na
3.5899 -0.0775 -0.0691 Zn
0.3888 0.3413 3.5539 Zn
0.3888 3.5696 -0.0691 Zn
0.7777 5.2135 2.0230 Zn
5.2703 2.0205 -0.1382 Zn
2.6871 0.4327 4.9467 Zn
2.6871 4.9637 -0.1382 Zn
5.2703 0.0947 2.0230 Zn
0.7777 2.6083 4.9467 Zn
2.1848 5.0990 4.5435 Zn
5.3393 4.6862 0.9731 Zn
5.3393 1.5048 4.5435 Zn
6.5504 2.5677 2.2880 Zn
3.3958 2.9805 5.8584 Zn
3.3958 6.1619 2.2880 Zn
```

- Final energy: -1.448 eV per atom
- DOS at the Fermi energy: 7.690 states/eV per cell
- Symmetry: No. 166
- ρ: 5.90 g/cm³
- Energy of formation: -101 meV/atom



Below is MgBeSb2 after structural relaxation, with properties calculated at the PBE level.

Cell and atoms, written as POSCAR:
```
MgBeSb2
1.0
5.0123 -0.0238 0.0000
-0.9080 4.9294 0.0000
0.0000 0.0000 3.4901
Sb Mg Be
2 1 1
Cartesian
0.0000 0.0000 0.0000 Sb
2.0522 2.4528 0.0000 Sb
-0.4540 2.4647 1.7450 Mg
2.5061 -0.0119 1.7450 Be
```

- Final energy: -3.048 eV per atom
- DOS at the Fermi energy: 1.928 states/eV per cell
- Symmetry: No. 65
- ρ: 5.34 g/cm³
- Relative energy among the computed polymorphs: 258.2 meV/atom



Below is SmLuAgHg after structural relaxation, with properties calculated at the PBE level.

Cell and atoms, written as POSCAR:
```
SmLuAgHg
1.0
5.2074 0.0000 0.0000
2.6037 4.5098 0.0000
2.6037 1.5033 4.2518
Ag Lu Hg Sm
1 1 1 1
Cartesian
0.0000 0.0000 0.0000 Ag
2.6037 1.5033 1.0630 Lu
5.2074 3.0065 2.1259 Hg
7.8111 4.5098 3.1889 Sm
```

- Final energy: -3.483 eV per atom
- DOS at the Fermi energy: 4.397 states/eV per cell
- Symmetry: No. 216
- ρ: 10.54 g/cm³
- Energy of formation: -385 meV/atom



Question: Which of these has the highest ρ?
Answer: SmLuAgHg